1.
{
  "formula": "TbPaHgC",
  "functional": "PBE-GGA",
  "state": "relaxed",
  "formation_energy_ev_per_atom": -0.34,
  "m_tot_mub_per_atom": 0.000,
  "volume_a3_per_cell": 87,
  "final_energy_ev_per_atom": -6.251,
  "lattice_angstrom": [[-2.3095, -2.3463, -1.3316], [2.6013, 1.2888, -2.0462], [5.4148, -4.8273, 3.8434]],
  "species": ["Pa", "C", "Tb", "Hg"],
  "fractional_positions": [[0.0821, 0.9390, 0.0367], [0.3092, 0.5525, 0.8768], [0.5171, 0.1565, 0.6888], [0.9694, 0.3828, 0.3674]]
}

2.
{
  "formula": "Ba2SmHg4",
  "functional": "PBE-GGA",
  "state": "relaxed",
  "formation_energy_ev_per_atom": -0.39,
  "m_tot_mub_per_atom": 0.000,
  "volume_a3_per_cell": 242,
  "final_energy_ev_per_atom": -1.781,
  "lattice_angstrom": [[5.4272, 0.0000, -1.7300], [-0.5515, 5.3991, -1.7300], [-0.2905, -0.3217, 8.4665]],
  "species": ["Hg", "Hg", "Hg", "Hg", "Ba", "Ba", "Sm"],
  "fractional_positions": [[0.8973, 0.3973, 0.7945], [0.6027, 0.1027, 0.2055], [0.1027, 0.6027, 0.2055], [0.3973, 0.8973, 0.7945], [0.2737, 0.2737, 0.5474], [0.7263, 0.7263, 0.4526], [0.0000, 0.0000, 0.0000]]
}

3.
{
  "formula": "Sm8HOs3Br4",
  "functional": "PBE-GGA",
  "state": "relaxed",
  "m_tot_mub_per_atom": 0.000,
  "volume_a3_per_cell": 434,
  "final_energy_ev_per_atom": -5.805,
  "lattice_angstrom": [[8.0232, 0.0000, 0.0000], [0.0000, 9.0334, 0.7094], [-4.0116, -4.0016, 5.6759]],
  "species": ["H", "Sm", "Sm", "Sm", "Sm", "Sm", "Sm", "Sm", "Sm", "Br", "Br", "Br", "Br", "Os", "Os", "Os"],
  "fractional_positions": [[0.0000, 0.5000, 0.0000], [0.2658, 0.2974, 0.5317], [0.2321, 0.6935, 0.9614], [0.7342, 0.7026, 0.4683], [0.7293, 0.6935, 0.9614], [0.7679, 0.3065, 0.0386], [0.7681, 0.3067, 0.5362], [0.2707, 0.3065, 0.0386], [0.2319, 0.6933, 0.4638], [0.5000, 0.0000, 0.0000], [0.5000, 0.0000, 0.5000], [0.0000, 0.0000, 0.5000], [0.0000, 0.0000, 0.0000], [0.5000, 0.5000, 0.5000], [0.0000, 0.5000, 0.5000], [0.5000, 0.5000, 0.0000]]
}

4.
{
  "formula": "AlPSN2",
  "functional": "PBE-GGA",
  "state": "relaxed",
  "m_tot_mub_per_atom": 0.000,
  "volume_a3_per_cell": 85,
  "e_above_lowest_polymorph_mev_per_atom": 433.9,
  "final_energy_ev_per_atom": -5.010,
  "formation_energy_uncorrected_mev_per_atom": 976,
  "lattice_angstrom": [[3.5451, 0.0000, 0.0000], [0.0000, 6.7437, 0.0000], [0.0000, 0.0000, 3.5451]],
  "species": ["P", "Al", "N", "N", "S"],
  "fractional_positions": [[0.0000, 0.5000, 0.0000], [0.0000, 0.0000, 0.0000], [0.0000, 0.0000, 0.5000], [0.5000, 0.0000, 0.0000], [0.5000, 0.5000, 0.5000]]
}

5.
{
  "formula": "MnAgBi2",
  "functional": "PBE-GGA",
  "state": "relaxed",
  "formation_energy_ev_per_atom": 0.38,
  "m_tot_mub_per_atom": 1.043,
  "volume_a3_per_cell": 221,
  "e_above_lowest_polymorph_mev_per_atom": 0.0,
  "final_energy_ev_per_atom": -4.568,
  "lattice_angstrom": [[4.9387, 0.0000, 0.0000], [0.0000, 4.9387, 0.0000], [2.4694, 2.4694, 9.0630]],
  "species": ["Bi", "Bi", "Bi", "Bi", "Ag", "Ag", "Mn", "Mn"],
  "fractional_positions": [[0.3750, 0.3874, 0.7500], [0.6126, 0.1250, 0.2500], [0.1374, 0.6250, 0.2500], [0.8750, 0.8626, 0.7500], [0.7500, 0.2500, 0.5000], [0.0000, 0.0000, 0.0000], [0.5000, 0.5000, 0.0000], [0.2500, 0.7500, 0.5000]]
}

6.
{
  "formula": "Cu2HgCl3",
  "functional": "PBE-GGA",
  "state": "relaxed",
  "m_tot_mub_per_atom": 0.000,
  "volume_a3_per_cell": 327,
  "e_above_lowest_polymorph_mev_per_atom": 7.0,
  "final_energy_ev_per_atom": -2.764,
  "formation_energy_uncorrected_mev_per_atom": -425,
  "lattice_angstrom": [[7.1845, -0.0859, -1.1308], [-3.4616, 5.2053, -0.8694], [-1.5125, 2.4252, 8.3999]],
  "species": ["Cl", "Cl", "Cl", "Cl", "Cl", "Cl", "Hg", "Hg", "Cu", "Cu", "Cu", "Cu"],
  "fractional_positions": [[0.4787, 0.7431, 0.1829], [0.6814, 0.8975, 0.6073], [0.3186, 0.1024, 0.3927], [0.0823, 0.6108, 0.7060], [0.9177, 0.3892, 0.2940], [0.5213, 0.2569, 0.8171], [0.0824, 0.1854, 0.1056], [0.9176, 0.8146, 0.8944], [0.2395, 0.6591, 0.9556], [0.7605, 0.3409, 0.0444], [0.4074, 0.9250, 0.6535], [0.5926, 0.0750, 0.3465]]
}

7.
{
  "formula": "PmYHoTl",
  "functional": "PBE-GGA",
  "state": "relaxed",
  "formation_energy_ev_per_atom": -0.02,
  "m_tot_mub_per_atom": 0.416,
  "volume_a3_per_cell": 118,
  "e_above_lowest_polymorph_mev_per_atom": 172.6,
  "final_energy_ev_per_atom": -4.556,
  "lattice_angstrom": [[-3.2441, -2.6928, 3.5303], [-1.2866, -5.2671, -0.9171], [2.1013, -3.9422, 3.2066]],
  "species": ["Ho", "Y", "Pm", "Tl"],
  "fractional_positions": [[0.2500, 0.2500, 0.2500], [0.7500, 0.7500, 0.7500], [0.5000, 0.5000, 0.5000], [0.0000, 0.0000, 0.0000]]
}

8.
{
  "formula": "InMo2S2",
  "functional": "PBE-GGA",
  "state": "relaxed",
  "m_tot_mub_per_atom": 0.000,
  "volume_a3_per_cell": 170,
  "e_above_lowest_polymorph_mev_per_atom": 287.1,
  "final_energy_ev_per_atom": -6.397,
  "formation_energy_uncorrected_mev_per_atom": 134,
  "lattice_angstrom": [[7.5525, 0.0000, 0.0000], [0.0000, 7.5525, 0.0000], [0.0000, 0.0000, 2.9721]],
  "species": ["S", "S", "S", "S", "In", "In", "Mo", "Mo", "Mo", "Mo"],
  "fractional_positions": [[0.1340, 0.6340, 0.5000], [0.8660, 0.3660, 0.5000], [0.6340, 0.8660, 0.5000], [0.3660, 0.1340, 0.5000], [0.5000, 0.5000, 0.0000], [0.0000, 0.0000, 0.0000], [0.6327, 0.1327, 0.0000], [0.1327, 0.3673, 0.0000], [0.3673, 0.8673, 0.0000], [0.8673, 0.6327, 0.0000]]
}

9.
{
  "formula": "Li4PtPb",
  "functional": "PBE-GGA",
  "state": "relaxed",
  "formation_energy_ev_per_atom": -0.40,
  "m_tot_mub_per_atom": 0.000,
  "volume_a3_per_cell": 98,
  "e_above_lowest_polymorph_mev_per_atom": 0.0,
  "final_energy_ev_per_atom": -3.298,
  "lattice_angstrom": [[-3.8871, -1.8161, 1.2466], [3.5949, -2.5892, -0.5748], [1.3937, 0.7438, 5.4279]],
  "species": ["Li", "Li", "Li", "Li", "Pt", "Pb"],
  "fractional_positions": [[0.3372, 0.1659, 0.7232], [0.6704, 0.8326, 0.7241], [0.3374, 0.1663, 0.2722], [0.6707, 0.8329, 0.2730], [0.0041, 0.4995, 0.4982], [0.0042, 0.4994, 0.9982]]
}

10.
{
  "formula": "HgRhW2",
  "functional": "PBE-GGA",
  "state": "relaxed",
  "formation_energy_ev_per_atom": 0.25,
  "m_tot_mub_per_atom": 0.000,
  "volume_a3_per_cell": 67,
  "final_energy_ev_per_atom": -8.143,
  "lattice_angstrom": [[-2.6516, 0.9552, 0.0582], [-0.3863, -0.9116, -2.6394], [-2.6170, -7.4447, 2.9543]],
  "species": ["Rh", "Hg", "W", "W"],
  "fractional_positions": [[0.5000, 0.5000, 0.7722], [0.0000, 0.0000, 0.5105], [0.0000, 0.0000, 0.9812], [0.5000, 0.5000, 0.2361]]
}

11.
{
  "formula": "Ce7Tl2Rh2",
  "functional": "PBE-GGA",
  "state": "relaxed",
  "formation_energy_ev_per_atom": -0.19,
  "m_tot_mub_per_atom": 0.403,
  "volume_a3_per_cell": 290,
  "final_energy_ev_per_atom": -5.737,
  "lattice_angstrom": [[-1.9084, -3.0276, -5.8431], [-2.3986, -5.6046, 2.6229], [-5.6247, 3.3832, -0.9805]],
  "species": ["Rh", "Rh", "Ce", "Ce", "Ce", "Ce", "Ce", "Ce", "Ce", "Tl", "Tl"],
  "fractional_positions": [[0.0395, 0.6558, 0.6558], [0.9605, 0.3442, 0.3442], [0.0000, 0.0000, 0.0000], [0.6391, 0.6324, 0.6324], [0.1808, 0.5588, 0.0110], [0.8192, 0.4412, 0.9890], [0.8192, 0.9890, 0.4412], [0.1808, 0.0110, 0.5588], [0.3609, 0.3676, 0.3676], [0.5000, 0.8448, 0.1552], [0.5000, 0.1552, 0.8448]]
}

12.
{
  "formula": "Tb2Sm6HoEr3",
  "functional": "PBE-GGA",
  "state": "relaxed",
  "formation_energy_ev_per_atom": 0.01,
  "m_tot_mub_per_atom": 0.000,
  "volume_a3_per_cell": 387,
  "final_energy_ev_per_atom": -4.639,
  "lattice_angstrom": [[-3.4058, -4.7870, 1.9907], [4.7641, 2.0436, 3.4064], [-7.5498, 8.2573, 3.7290]],
  "species": ["Sm", "Sm", "Sm", "Sm", "Sm", "Sm", "Tb", "Tb", "Er", "Er", "Er", "Ho"],
  "fractional_positions": [[0.5828, 0.9160, 0.7489], [0.4172, 0.0840, 0.2511], [0.9160, 0.5828, 0.7489], [0.2491, 0.2491, 0.7487], [0.0840, 0.4172, 0.2511], [0.7509, 0.7509, 0.2513], [0.3334, 0.6666, 0.0000], [0.6666, 0.3334, 0.0000], [0.8334, 0.1666, 0.5000], [0.5000, 0.5000, 0.5000], [0.1666, 0.8334, 0.5000], [0.0000, 0.0000, 0.0000]]
}